Material: Rb2NbCI6
Method: DFT, GGA-PBE
State: relaxed

Cell lengths 7.851, 7.851, 12.653 Å; angles 90.00, 90.00, 90.00 degrees
Space group I4/mmm (No. 139)
Symmetry-distinct sites (fractional):
Rb 0.000 0.500 0.250
Nb 0.000 0.000 0.000
C 0.000 0.000 0.500
I 0.000 0.000 0.225
I 0.241 0.241 0.500

Uncorrected formation energy in eV/atom: -0.131
Total magnetic moment in Bohr magnetons per cell: 6.00
Total energy in eV per formula unit: -31.843

=====

Material: SiW2
Method: DFT, GGA-PBE
State: relaxed

Cell lengths 5.2598, 5.2598, 8.5000 Å; angles 90.00, 90.00, 120.00 degrees
Space group P6_3/mmc (No. 194)
Symmetry-distinct sites (fractional):
Si 0.3333 0.6667 0.0689
W 0.0000 0.0000 0.0000
W 0.1724 0.3448 0.7500

Uncorrected formation energy in eV/atom: 0.786
Energy above the most stable polymorph in this dataset in meV per atom: 936
Total magnetic moment in Bohr magnetons per cell: 0.00
Total energy in eV per formula unit: -28.972

=====

Material: VCuAs2N
Method: DFT, GGA-PBE
State: relaxed

Cell lengths 4.459, 4.459, 3.784 Å; angles 90.00, 90.00, 90.00 degrees
Space group P4/mmm (No. 123)
Symmetry-distinct sites (fractional):
V 0.000 0.000 0.000
Cu 0.500 0.500 0.000
As 0.000 0.500 0.500
N 0.000 0.000 0.500

Uncorrected formation energy in eV/atom: 0.380
Total magnetic moment in Bohr magnetons per cell: 1.57
Total energy in eV per formula unit: -28.941

=====

Material: Tl2H2S
Method: DFT, GGA-PBE
State: relaxed

Cell lengths 7.165, 4.144, 9.601 Å; angles 90.00, 102.05, 90.00 degrees
Space group C2/m (No. 12)
Symmetry-distinct sites (fractional):
Tl 0.218 0.000 0.182
H 0.020 0.000 0.467
S 0.000 0.500 0.000

Total magnetic moment in Bohr magnetons per cell: 0.00
Total energy in eV per formula unit: -16.592

=====

Material: SrTbCuHg
Method: DFT, GGA-PBE
State: relaxed

Cell lengths 7.495, 7.495, 7.495 Å; angles 90.00, 90.00, 90.00 degrees
Space group F-43m (No. 216)
Symmetry-distinct sites (fractional):
Sr 0.000 0.000 0.000
Tb 0.000 0.000 0.500
Cu 0.250 0.250 0.250
Hg 0.250 0.250 0.750

Energy of formation from the pure elements in eV per atom: -0.207
Total magnetic moment in Bohr magnetons per cell: 0.00
Total energy in eV per formula unit: -11.539

=====

Material: CsGa2Au2
Method: DFT, GGA-PBE
State: relaxed

Cell lengths 8.916, 8.916, 3.225 Å; angles 90.00, 90.00, 90.00 degrees
Space group P4/mbm (No. 127)
Symmetry-distinct sites (fractional):
Cs 0.000 0.000 0.000
Ga 0.130 0.370 0.500
Au 0.129 0.629 0.000

Energy of formation from the pure elements in eV per atom: -0.008
Energy above the most stable polymorph in this dataset in meV per atom: 275
Total magnetic moment in Bohr magnetons per cell: 0.00
Total energy in eV per formula unit: -13.504